DFT (GGA-PBE) results for a relaxed Cr3Re crystal.

Unit cell a=2.7376 b=8.0620 c=2.7376 alpha=99.78 beta=60.00 gamma=99.78
With the nearest neighbours (Å) after each atom.
Element x y z (fractional)
Cr (0.9937, 0.9812, 0.9937)  3 Cr 2.42, 3 Re 2.65
Cr (0.5063, 0.5188, 0.5063)  3 Cr 2.42, 3 Re 2.65
Cr (0.2500, 0.7500, 0.2500)  6 Cr 2.42
Re (0.7500, 0.2500, 0.7500)  6 Cr 2.65, 6 Re 2.74

The formation energy comes out at 0.282 eV per atom. Its calculated volume is 51.3 Å³ per cell. The raw total energy comes out at -40.189 eV/cell. The density of states at the Fermi level is 4.14 states/eV/f.u.